Entry from OQMD: a relaxed ErTmTe2 crystal (PBE).

abc: 7.6022 7.6022 4.0601
angles: 90.00 90.00 90.00
Last column: nearest neighbours and their distance in Å.
Atoms (fractional coordinates):
Er1 0.0000 0.5000 0.1929  6 Te 3.06-3.11
Er2 0.5000 0.0000 0.8071  6 Te 3.06-3.11
Tm1 0.0000 0.0000 0.0000  4 Te 2.99
Tm2 0.5000 0.5000 0.0000  4 Te 2.99
Te1 0.2142 0.2858 0.6890  2 Tm 2.99, 3 Er 3.06-3.11
Te2 0.2858 0.7858 0.3110  2 Tm 2.99, 3 Er 3.06-3.11
Te3 0.7142 0.2142 0.3110  2 Tm 2.99, 3 Er 3.06-3.11
Te4 0.7858 0.7142 0.6890  2 Tm 2.99, 3 Er 3.06-3.11

Total magnetization = 0.462 μB per cell
VASP energy = -38.92 eV for the cell shown
V = 29.33 Å³ per atom